Entry 1:
The following is a GGA-PBE calculation of a geometry-optimized TiCdSn2Ge structure, from Alexandria.

Computed properties:
Total energy   -3.40 eV/atom
Calculated formation energy   428.5 kJ/mol of formula units
Spin magnetization   0.1 μB per formula unit

```
data_TiCdSn2Ge
_chemical_formula_sum 'Ti1 Cd1 Sn2 Ge1'
_symmetry_space_group_name_H-M 'P 1'
_symmetry_Int_Tables_number 1
_symmetry_space_group_name_Hall 'P 1'
_cell_length_a 5.372
_cell_length_b 5.372
_cell_length_c 4.924
_cell_angle_alpha 90.00
_cell_angle_beta 90.00
_cell_angle_gamma 90.00
loop_
_atom_site_label
_atom_site_fract_x
_atom_site_fract_y
_atom_site_fract_z
_atom_site_occupancy
Ti1 0.000 0.000 0.000 1
Cd1 0.500 0.500 0.000 1
Sn1 0.000 0.500 0.500 1
Sn2 0.500 0.000 0.500 1
Ge1 0.500 0.500 0.500 1
```



Entry 2:
The following is a GGA-PBE calculation of a geometry-optimized TlCd2SnGe structure, from Alexandria.

Computed properties:
Total energy   -1.78 eV/atom
Calculated formation energy   376.6 kJ/mol of formula units
Spin magnetization   0.0 μB per formula unit

```
data_TlCd2SnGe
_chemical_formula_sum 'Tl1 Cd2 Sn1 Ge1'
_symmetry_space_group_name_H-M 'P 1'
_symmetry_Int_Tables_number 1
_symmetry_space_group_name_Hall 'P 1'
_cell_length_a 5.402
_cell_length_b 5.402
_cell_length_c 5.856
_cell_angle_alpha 90.00
_cell_angle_beta 90.00
_cell_angle_gamma 90.00
loop_
_atom_site_label
_atom_site_fract_x
_atom_site_fract_y
_atom_site_fract_z
_atom_site_occupancy
Tl1 0.000 0.000 0.000 1
Cd1 0.000 0.500 0.000 1
Cd2 0.500 0.000 0.000 1
Sn1 0.000 0.000 0.500 1
Ge1 0.500 0.500 0.500 1
```



Entry 3:
The following is a GGA-PBE calculation of a geometry-optimized TlCdSnGe structure, from Alexandria.

Computed properties:
Total energy   -2.81 eV/atom
Calculated formation energy   62.4 kJ/mol of formula units
Spin magnetization   0.0 μB per formula unit

```
data_TlCdSnGe
_chemical_formula_sum 'Tl1 Cd1 Sn1 Ge1'
_symmetry_space_group_name_H-M 'P 1'
_symmetry_Int_Tables_number 1
_symmetry_space_group_name_Hall 'P 1'
_cell_length_a 5.228
_cell_length_b 5.228
_cell_length_c 5.228
_cell_angle_alpha 60.00
_cell_angle_beta 60.00
_cell_angle_gamma 60.00
loop_
_atom_site_label
_atom_site_fract_x
_atom_site_fract_y
_atom_site_fract_z
_atom_site_occupancy
Tl1 0.000 0.000 0.000 1
Cd1 0.250 0.250 0.250 1
Sn1 0.500 0.500 0.500 1
Ge1 0.750 0.750 0.750 1
```